Record 1
Here is LaYPb2 after structural relaxation from Alexandria via LeMat-Bulk. Energies are from PBE.

- E_form: -1.92 eV per formula unit
- Crystal system: monoclinic
- Calculated total energy: -5.182 eV/atom

Lattice parameters (Å, degrees): 5.898 3.516 5.900 90.06 90.00 90.00
Each line ends with the local moment (μB).
Fractional coordinates of all 4 atoms:
La (0.500, 0.689, 0.876)  0.16
Pb (0.500, 0.134, 0.376)  0.00
Y (0.000, 0.542, 0.374)  -0.16
Pb (0.000, 0.134, 0.874)  0.00

Record 2
Here is LaY2Pb after structural relaxation from Alexandria via LeMat-Bulk. Energies are from PBE.

- E_form: -1.04 eV per formula unit
- Crystal system: tetragonal
- Calculated total energy: -5.652 eV/atom

Lattice parameters (Å, degrees): 4.320 4.320 6.769 90.00 90.00 90.00
Fractional coordinates of all 4 atoms:
Y (0.000, 0.000, 0.982)
Pb (0.500, 0.500, 0.757)
Y (0.500, 0.500, 0.244)
La (0.000, 0.000, 0.517)

Record 3
Here is LaYPb2 after structural relaxation from Alexandria via LeMat-Bulk. Energies are from PBE.

- E_form: -0.11 eV per formula unit
- Crystal system: tetragonal
- Calculated total energy: -4.729 eV/atom

Lattice parameters (Å, degrees): 5.029 5.029 11.603 77.48 77.48 90.00
Each line ends with the local moment (μB).
Fractional coordinates of all 8 atoms:
Y (0.500, 0.500, 0.000)  0.30
Pb (0.375, 0.413, 0.750)  0.01
Pb (0.587, 0.125, 0.250)  0.01
Y (0.250, 0.750, 0.500)  0.30
La (0.000, 0.000, 0.000)  0.29
La (0.750, 0.250, 0.500)  0.29
Pb (0.163, 0.625, 0.250)  0.01
Pb (0.875, 0.837, 0.750)  0.01

Record 4
Here is LaYPb2 after structural relaxation from Alexandria via LeMat-Bulk. Energies are from PBE.

- E_form: 0.41 eV per formula unit
- Crystal system: orthorhombic
- Calculated total energy: -4.600 eV/atom

Lattice parameters (Å, degrees): 7.370 7.370 7.370 57.19 152.23 131.08
Fractional coordinates of all 4 atoms:
Pb (0.000, 0.241, 0.241)
Y (0.000, 0.000, 0.000)
La (0.000, 0.500, 0.500)
Pb (0.000, 0.759, 0.759)

> Look up the calculated total energy of the third one.

-4.729 eV/atom